DFT (GGA-PBE) results for LiBeMo3 after structural relaxation.

Structure (POSCAR):
```
LiBeMo3
1.0
4.2547 0.0000 0.0000
0.0000 4.2547 0.0000
0.0000 0.0000 4.2547
Li Be Mo
1 1 3
direct
0.0000 0.0000 0.0000
0.5000 0.5000 0.5000
0.0000 0.5000 0.5000
0.5000 0.0000 0.5000
0.5000 0.5000 0.0000
```

Summary:
The value obtained for the final energy is -6.69 eV/atom. As for the space-group type: No. 221. The distance to the lowest polymorph of the same formula is 0 meV per atom. As for the formation energy: 4.7 eV/f.u. The calculated density is 6.5 g/cm³.

=====

DFT (GGA-PBE) results for PrIn2Ni9 after structural relaxation.

Structure (POSCAR):
```
PrIn2Ni9
1.0
8.3089 0.0000 0.0000
0.0000 8.3089 0.0000
0.0000 0.0000 4.8806
Pr In Ni
2 4 18
direct
0.0000 0.0000 0.0000
0.5000 0.5000 0.0000
0.1242 0.3758 0.0000
0.3758 0.8758 0.0000
0.6242 0.1242 0.0000
0.8758 0.6242 0.0000
0.0000 0.5000 0.5000
0.0660 0.2093 0.5000
0.1758 0.6758 0.2501
0.1758 0.6758 0.7499
0.2093 0.9340 0.5000
0.2907 0.4340 0.5000
0.3242 0.1758 0.2501
0.3242 0.1758 0.7499
0.4340 0.7093 0.5000
0.5000 0.0000 0.5000
0.5660 0.2907 0.5000
0.6758 0.8242 0.2501
0.6758 0.8242 0.7499
0.7093 0.5660 0.5000
0.7907 0.0660 0.5000
0.8242 0.3242 0.2501
0.8242 0.3242 0.7499
0.9340 0.7907 0.5000
```

Summary:
The value obtained for the final energy is -5.39 eV/atom. As for the space-group type: No. 127. The distance to the lowest polymorph of the same formula is 0 meV per atom. As for the formation energy: -2.4 eV/f.u. The calculated density is 8.9 g/cm³.

=====

DFT (GGA-PBE) results for CoSn2Pd2 after structural relaxation.

Structure (POSCAR):
```
CoSn2Pd2
1.0
-2.1106 2.1106 5.8675
2.1106 -2.1106 5.8675
2.1106 2.1106 -5.8675
Co Sn Pd
1 2 2
direct
0.0000 0.0000 0.0000
0.2500 0.7500 0.5000
0.7500 0.2500 0.5000
0.3904 0.3904 0.0000
0.6096 0.6096 0.0000
```

Summary:
The value obtained for the final energy is -4.72 eV/atom. As for the space-group type: No. 139. The distance to the lowest polymorph of the same formula is 432 meV per atom. As for the formation energy: 1.9 eV/f.u. The calculated density is 8.1 g/cm³.

=====

DFT (GGA-PBE) results for IrPt4Br after structural relaxation.

Structure (POSCAR):
```
IrPt4Br
1.0
0.0000 3.7565 3.7565
3.7565 0.0000 3.7565
3.7565 3.7565 0.0000
Ir Pt Br
1 4 1
direct
0.0000 0.0000 0.0000
0.1240 0.6253 0.6253
0.6253 0.1240 0.6253
0.6253 0.6253 0.1240
0.6253 0.6253 0.6253
0.2500 0.2500 0.2500
```

Summary:
The value obtained for the final energy is -4.97 eV/atom. The calculation puts the formation energy without anion corrections at 809 meV/atom. As for the space-group type: No. 216. The calculated density is 16.5 g/cm³.